Record 1
Computed, not measured: a geometry-optimized BaLiHgAu2 structure at the PBE level of DFT.

Calculated values
- formation energy (eV/atom) = -0.456
- energy relative to the lowest polymorph listed for this composition (meV per atom) = 103
- E (eV for the cell shown) = -12.97
- D(E_F) (states/eV per cell) = 2.4

Cell: 5.0689 5.0689 5.0144 Å, 90.00 90.00 90.00°
Atoms (fractional coordinates):
Li: 0.0000 0.0000 0.0000
Au: 0.0000 0.5000 0.0000
Au: 0.5000 0.0000 0.0000
Hg: 0.0000 0.0000 0.5000
Ba: 0.5000 0.5000 0.5000



Record 2
Computed, not measured: a geometry-optimized Ba2LiHg4Au3 structure at the PBE level of DFT.

Calculated values
- formation energy (eV/atom) = -0.452
- E (eV for the cell shown) = -21.32
- D(E_F) (states/eV per cell) = 4.4

Cell: 4.5334 4.5334 13.2125 Å, 90.00 90.00 90.00°
Atoms (fractional coordinates):
Ba: 0.5000 0.0000 0.2416
Ba: 0.0000 0.5000 0.7584
Li: 0.5000 0.5000 0.5000
Hg: 0.5000 0.5000 0.0000
Hg: 0.0000 0.0000 0.0000
Hg: 0.5000 0.0000 0.6327
Hg: 0.0000 0.5000 0.3673
Au: 0.0000 0.0000 0.5000
Au: 0.5000 0.0000 0.8526
Au: 0.0000 0.5000 0.1474



Record 3
Computed, not measured: a geometry-optimized Ba3Li2Hg2Au4 structure at the PBE level of DFT.

Calculated values
- formation energy (eV/atom) = -0.517
- E (eV for the cell shown) = -28.99
- D(E_F) (states/eV per cell) = 7.8

Cell: 4.9381 4.9381 15.6400 Å, 90.00 90.00 120.00°
Atoms (fractional coordinates):
Ba: 0.0000 0.0000 0.7229
Ba: 0.0000 0.0000 0.0000
Ba: 0.0000 0.0000 0.2771
Li: 0.6667 0.3333 0.4421
Li: 0.3333 0.6667 0.5579
Hg: 0.6667 0.3333 0.8607
Hg: 0.3333 0.6667 0.1393
Au: 0.6667 0.3333 0.1372
Au: 0.3333 0.6667 0.8628
Au: 0.6667 0.3333 0.6082
Au: 0.3333 0.6667 0.3918



Record 4
Computed, not measured: a geometry-optimized Ba2LiHgAu structure at the PBE level of DFT.

Calculated values
- formation energy (eV/atom) = -0.385
- energy relative to the lowest polymorph listed for this composition (meV per atom) = 115
- E (eV for the cell shown) = -11.26
- D(E_F) (states/eV per cell) = 3.3

Cell: 6.3260 6.3260 4.9423 Å, 90.00 90.00 90.00°
Atoms (fractional coordinates):
Li: 0.0000 0.0000 0.5000
Au: 0.0000 0.0000 0.0000
Hg: 0.5000 0.5000 0.5000
Ba: 0.0000 0.5000 0.0000
Ba: 0.5000 0.0000 0.0000



What is the D(E_F) in the first record?
2.4 states/eV per cell